This record from the Open Quantum Materials Database describes an optimized crystal structure of LiTbNiSe3. The functional is PBE.

Computed properties:
**Density**: 5.9 g/cm³
**Energy**: -4.838 eV/atom

a b c (Å): 6.758 6.758 10.463
angles (deg): 90.00 90.00 146.85
Sites, in units of the cell vectors:
Li  0.226  0.774  0.750
Li  0.774  0.226  0.250
Tb  0.000  0.000  0.000
Tb  0.000  0.000  0.500
Ni  0.485  0.515  0.250
Ni  0.515  0.485  0.750
Se  0.094  0.906  0.250
Se  0.355  0.645  0.090
Se  0.355  0.645  0.410
Se  0.645  0.355  0.590
Se  0.645  0.355  0.910
Se  0.906  0.094  0.750



This record from the Open Quantum Materials Database describes an optimized crystal structure of LiTmNiSe3. The functional is PBE.

Computed properties:
**Density**: 6.1 g/cm³
**Energy**: -4.811 eV/atom

a b c (Å): 6.750 6.750 10.293
angles (deg): 90.00 90.00 147.08
Sites, in units of the cell vectors:
Li  0.229  0.771  0.750
Li  0.771  0.229  0.250
Tm  0.000  0.000  0.000
Tm  0.000  0.000  0.500
Ni  0.485  0.515  0.250
Ni  0.515  0.485  0.750
Se  0.096  0.904  0.250
Se  0.358  0.642  0.085
Se  0.358  0.642  0.415
Se  0.642  0.358  0.585
Se  0.642  0.358  0.915
Se  0.904  0.096  0.750



This record from the Open Quantum Materials Database describes an optimized crystal structure of LiTmNiSe3. The functional is PBE.

Computed properties:
**Density**: 6.4 g/cm³
**Energy**: -4.786 eV/atom

a b c (Å): 10.939 3.886 11.487
angles (deg): 90.00 90.00 90.00
Sites, in units of the cell vectors:
Li  0.215  0.250  0.028
Li  0.285  0.750  0.528
Li  0.715  0.250  0.472
Li  0.785  0.750  0.972
Tm  0.029  0.250  0.298
Tm  0.471  0.750  0.798
Tm  0.529  0.250  0.202
Tm  0.971  0.750  0.702
Ni  0.246  0.250  0.730
Ni  0.254  0.750  0.230
Ni  0.746  0.250  0.770
Ni  0.754  0.750  0.270
Se  0.071  0.750  0.124
Se  0.100  0.250  0.572
Se  0.203  0.750  0.831
Se  0.297  0.250  0.331
Se  0.400  0.750  0.072
Se  0.429  0.250  0.624
Se  0.571  0.750  0.376
Se  0.600  0.250  0.928
Se  0.703  0.750  0.669
Se  0.797  0.250  0.169
Se  0.900  0.750  0.428
Se  0.929  0.250  0.876



This record from the Open Quantum Materials Database describes an optimized crystal structure of Li2Si3Ni2. The functional is PBE.

Computed properties:
**Density**: 3.9 g/cm³
**Energy**: -4.868 eV/atom

a b c (Å): 8.821 3.744 6.181
angles (deg): 90.00 115.67 90.00
Sites, in units of the cell vectors:
Li  0.160  0.000  0.291
Li  0.340  0.500  0.709
Li  0.660  0.500  0.291
Li  0.840  0.000  0.709
Si  0.000  0.500  0.500
Si  0.128  0.500  0.955
Si  0.372  0.000  0.045
Si  0.500  0.000  0.500
Si  0.628  0.000  0.955
Si  0.872  0.500  0.045
Ni  0.119  0.000  0.713
Ni  0.381  0.500  0.287
Ni  0.619  0.500  0.713
Ni  0.881  0.000  0.287



This record from the Open Quantum Materials Database describes an optimized crystal structure of LiSiNiW. The functional is PBE.

Computed properties:
**Density**: 9.3 g/cm³
**Energy**: -6.195 eV/atom

a b c (Å): 5.829 5.829 5.829
angles (deg): 90.00 90.00 90.00
Sites, in units of the cell vectors:
Li  0.000  0.000  0.000
Li  0.000  0.500  0.500
Li  0.500  0.000  0.500
Li  0.500  0.500  0.000
Si  0.250  0.250  0.250
Si  0.250  0.750  0.750
Si  0.750  0.250  0.750
Si  0.750  0.750  0.250
Ni  0.000  0.000  0.500
Ni  0.000  0.500  0.000
Ni  0.500  0.000  0.000
Ni  0.500  0.500  0.500
W  0.250  0.250  0.750
W  0.250  0.750  0.250
W  0.750  0.250  0.250
W  0.750  0.750  0.750



This record from the Open Quantum Materials Database describes an optimized crystal structure of LiTaNiSn. The functional is PBE.

Computed properties:
**Density**: 9.5 g/cm³
**Energy**: -5.530 eV/atom

a b c (Å): 6.352 6.352 6.352
angles (deg): 90.00 90.00 90.00
Sites, in units of the cell vectors:
Li  0.000  0.000  0.000
Li  0.000  0.500  0.500
Li  0.500  0.000  0.500
Li  0.500  0.500  0.000
Ta  0.250  0.250  0.250
Ta  0.250  0.750  0.750
Ta  0.750  0.250  0.750
Ta  0.750  0.750  0.250
Ni  0.250  0.250  0.750
Ni  0.250  0.750  0.250
Ni  0.750  0.250  0.250
Ni  0.750  0.750  0.750
Sn  0.000  0.000  0.500
Sn  0.000  0.500  0.000
Sn  0.500  0.000  0.000
Sn  0.500  0.500  0.500



This record from the Open Quantum Materials Database describes an optimized crystal structure of LiTaNiSn. The functional is PBE.

Computed properties:
**Density**: 10.1 g/cm³
**Energy**: -5.780 eV/atom

a b c (Å): 6.216 6.216 6.216
angles (deg): 90.00 90.00 90.00
Sites, in units of the cell vectors:
Li  0.000  0.000  0.000
Li  0.000  0.500  0.500
Li  0.500  0.000  0.500
Li  0.500  0.500  0.000
Ta  0.250  0.250  0.750
Ta  0.250  0.750  0.250
Ta  0.750  0.250  0.250
Ta  0.750  0.750  0.750
Ni  0.000  0.000  0.500
Ni  0.000  0.500  0.000
Ni  0.500  0.000  0.000
Ni  0.500  0.500  0.500
Sn  0.250  0.250  0.250
Sn  0.250  0.750  0.750
Sn  0.750  0.250  0.750
Sn  0.750  0.750  0.250



This record from the Open Quantum Materials Database describes an optimized crystal structure of LiTcNiSn. The functional is PBE.

Computed properties:
**Density**: 8.1 g/cm³
**Energy**: -5.385 eV/atom

a b c (Å): 6.153 6.153 6.153
angles (deg): 90.00 90.00 90.00
Sites, in units of the cell vectors:
Li  0.000  0.000  0.000
Li  0.000  0.500  0.500
Li  0.500  0.000  0.500
Li  0.500  0.500  0.000
Tc  0.250  0.250  0.250
Tc  0.250  0.750  0.750
Tc  0.750  0.250  0.750
Tc  0.750  0.750  0.250
Ni  0.250  0.250  0.750
Ni  0.250  0.750  0.250
Ni  0.750  0.250  0.250
Ni  0.750  0.750  0.750
Sn  0.000  0.000  0.500
Sn  0.000  0.500  0.000
Sn  0.500  0.000  0.000
Sn  0.500  0.500  0.500



This record from the Open Quantum Materials Database describes an optimized crystal structure of LiTcNiSn. The functional is PBE.

Computed properties:
**Density**: 8.2 g/cm³
**Energy**: -5.351 eV/atom

a b c (Å): 6.123 6.123 6.123
angles (deg): 90.00 90.00 90.00
Sites, in units of the cell vectors:
Li  0.000  0.000  0.000
Li  0.000  0.500  0.500
Li  0.500  0.000  0.500
Li  0.500  0.500  0.000
Tc  0.250  0.250  0.750
Tc  0.250  0.750  0.250
Tc  0.750  0.250  0.250
Tc  0.750  0.750  0.750
Ni  0.000  0.000  0.500
Ni  0.000  0.500  0.000
Ni  0.500  0.000  0.000
Ni  0.500  0.500  0.500
Sn  0.250  0.250  0.250
Sn  0.250  0.750  0.750
Sn  0.750  0.250  0.750
Sn  0.750  0.750  0.250



This record from the Open Quantum Materials Database describes an optimized crystal structure of Li4TlNi2Sn. The functional is PBE.

Computed properties:
**Density**: 6.6 g/cm³
**Energy**: -3.375 eV/atom

a b c (Å): 4.375 4.375 6.142
angles (deg): 90.00 90.00 90.00
Sites, in units of the cell vectors:
Li  0.000  0.000  0.000
Li  0.000  0.500  0.250
Li  0.500  0.000  0.750
Li  0.500  0.500  0.500
Tl  0.000  0.000  0.500
Ni  0.000  0.500  0.765
Ni  0.500  0.000  0.235
Sn  0.500  0.500  0.000



This record from the Open Quantum Materials Database describes an optimized crystal structure of LiNiSnW. The functional is PBE.

Computed properties:
**Density**: 10.4 g/cm³
**Energy**: -5.765 eV/atom

a b c (Å): 6.170 6.170 6.170
angles (deg): 90.00 90.00 90.00
Sites, in units of the cell vectors:
Li  0.000  0.000  0.000
Li  0.000  0.500  0.500
Li  0.500  0.000  0.500
Li  0.500  0.500  0.000
Ni  0.000  0.000  0.500
Ni  0.000  0.500  0.000
Ni  0.500  0.000  0.000
Ni  0.500  0.500  0.500
Sn  0.250  0.250  0.250
Sn  0.250  0.750  0.750
Sn  0.750  0.250  0.750
Sn  0.750  0.750  0.250
W  0.250  0.250  0.750
W  0.250  0.750  0.250
W  0.750  0.250  0.250
W  0.750  0.750  0.750



This record from the Open Quantum Materials Database describes an optimized crystal structure of Li4ZnNi2Sn. The functional is PBE.

Computed properties:
**Density**: 5.1 g/cm³
**Energy**: -3.241 eV/atom

a b c (Å): 4.244 4.244 5.944
angles (deg): 90.00 90.00 90.00
Sites, in units of the cell vectors:
Li  0.000  0.000  0.000
Li  0.000  0.500  0.229
Li  0.500  0.000  0.771
Li  0.500  0.500  0.500
Zn  0.500  0.500  0.000
Ni  0.000  0.500  0.759
Ni  0.500  0.000  0.241
Sn  0.000  0.000  0.500



This record from the Open Quantum Materials Database describes an optimized crystal structure of Li4Zn2NiSn. The functional is PBE.

Computed properties:
**Density**: 4.8 g/cm³
**Energy**: -2.692 eV/atom

a b c (Å): 4.315 4.315 6.241
angles (deg): 90.00 90.00 90.00
Sites, in units of the cell vectors:
Li  0.000  0.000  0.000
Li  0.000  0.500  0.223
Li  0.500  0.000  0.777
Li  0.500  0.500  0.500
Zn  0.000  0.500  0.785
Zn  0.500  0.000  0.215
Ni  0.500  0.500  0.000
Sn  0.000  0.000  0.500